# LiFeMo2

A PBEsol-optimized structure of LiFeMo2 (SCAN, Alexandria via LeMat-Bulk).

Results
* SG: Pm
* ΔH_f (0 K): 302 meV/atom
* energy relative to the lowest polymorph listed for this composition: 0 meV per atom

Geometry as POSCAR:
```
LiFeMo2
1.0
-0.298 -0.252 2.514
-3.070 -2.872 -0.651
3.406 -3.514 -0.556
Fe Li Mo
1 1 2
direct
0.452 0.000 0.495 Fe
0.305 0.500 0.753 Li
0.985 0.000 0.987 Mo
0.757 0.500 0.265 Mo
```